Compound: LiTi2Be2
Source: Alexandria via LeMat-Bulk
Functional: PBE-GGA
Structure: relaxed

Cell and atoms, written as POSCAR:
```
LiTi2Be2
1.0
-1.842 1.842 5.621
1.842 -1.842 5.621
1.842 1.842 -5.621
Li Ti Be
1 2 2
Cartesian
0.000 0.000 0.000
1.842 0.000 2.811
0.000 1.842 2.811
0.000 0.000 4.578
0.000 0.000 6.665
```

* offset from the most stable computed form: 312 meV per atom
* energy of formation: 0.449 eV per atom
* raw total energy: -4.583 eV per atom